Record 1
# TbPu2Ir

An optimized crystal structure of TbPu2Ir (PBE, Alexandria).

a b c (Å): 3.608 3.608 7.598
angles (deg): 90.00 90.00 90.00
Element x y z (fractional)
Tb: 0.000 0.000 0.000
Pu: 0.500 0.500 0.303
Pu: 0.500 0.500 0.697
Ir: 0.000 0.000 0.500

## Properties
ΔE_f: -60.9 kJ/mol of formula units
Energy: -10.697 eV/atom
Crystal system: tetragonal

Record 2
# YThCuRh

An optimized crystal structure of YThCuRh (PBE, Alexandria).

a b c (Å): 4.080 6.072 6.072
angles (deg): 37.45 90.00 90.00
Element x y z (fractional)
Y: 0.000 0.000 0.000
Th: 0.500 0.726 0.726
Cu: 0.500 0.433 0.433
Rh: 0.000 0.263 0.263

## Properties
ΔE_f: -232.4 kJ/mol of formula units
Energy: -6.935 eV/atom
Crystal system: orthorhombic

Record 3
# YHo4Ir5

An optimized crystal structure of YHo4Ir5 (PBE, Alexandria).

a b c (Å): 3.341 3.341 17.818
angles (deg): 90.00 90.00 90.00
Element x y z (fractional)
Y: 0.000 0.000 0.000
Ho: 0.000 0.000 0.201
Ho: 0.000 0.000 0.400
Ho: 0.000 0.000 0.600
Ho: 0.000 0.000 0.799
Ir: 0.500 0.500 0.102
Ir: 0.500 0.500 0.301
Ir: 0.500 0.500 0.500
Ir: 0.500 0.500 0.699
Ir: 0.500 0.500 0.898

## Properties
ΔE_f: -798.5 kJ/mol of formula units
Energy: -7.736 eV/atom
Crystal system: tetragonal

Record 4
# LiCrTc

An optimized crystal structure of LiCrTc (PBE, Alexandria).

a b c (Å): 4.187 4.842 4.842
angles (deg): 51.87 90.00 90.00
Element x y z (fractional)
Li: 0.000 0.000 0.000
Li: 0.500 0.149 0.149
Cr: 0.000 0.333 0.333
Cr: 0.500 0.472 0.472
Tc: 0.000 0.670 0.670
Tc: 0.500 0.822 0.822

## Properties
ΔE_f: 64.6 kJ/mol of formula units
Energy: -7.078 eV/atom
Crystal system: orthorhombic

Record 5
# Sc3BiB

An optimized crystal structure of Sc3BiB (PBE, Alexandria).

a b c (Å): 8.402 8.402 7.676
angles (deg): 93.00 93.00 22.88
Element x y z (fractional)
Sc: 0.042 0.042 0.299
Sc: 0.287 0.287 0.769
Sc: 0.372 0.372 0.404
Sc: 0.628 0.628 0.596
Sc: 0.713 0.713 0.231
Sc: 0.958 0.958 0.701
Bi: 0.118 0.118 0.938
Bi: 0.882 0.882 0.062
B: 0.229 0.229 0.465
B: 0.771 0.771 0.535

## Properties
ΔE_f: -197.2 kJ/mol of formula units
Energy: -6.319 eV/atom
Crystal system: monoclinic

Record 6
# ZrTl2Br

An optimized crystal structure of ZrTl2Br (PBE, Alexandria).

a b c (Å): 3.538 3.538 8.394
angles (deg): 90.00 90.00 90.00
Element x y z (fractional)
Zr: 0.000 0.000 0.000
Tl: 0.500 0.500 0.229
Tl: 0.500 0.500 0.771
Br: 0.000 0.000 0.500

## Properties
Energy: -3.675 eV/atom
Crystal system: tetragonal
Formation energy from raw total energies: 0.064 eV/atom

Record 7
# Ac8Tl3Ir

An optimized crystal structure of Ac8Tl3Ir (PBE, Alexandria).

a b c (Å): 9.630 9.630 9.630
angles (deg): 131.80 131.80 70.55
Element x y z (fractional)
Ac: 0.118 0.118 0.473
Ac: 0.118 0.646 0.000
Ac: 0.354 0.354 0.473
Ac: 0.354 0.882 0.000
Ac: 0.646 0.118 0.000
Ac: 0.646 0.646 0.527
Ac: 0.882 0.354 0.000
Ac: 0.882 0.882 0.527
Tl: 0.250 0.750 0.500
Tl: 0.500 0.500 0.000
Tl: 0.750 0.250 0.500
Ir: 0.000 0.000 0.000

## Properties
ΔE_f: -190.5 kJ/mol of formula units
Energy: -4.234 eV/atom
Crystal system: tetragonal

Record 8
# La7Te

An optimized crystal structure of La7Te (PBE, Alexandria).

a b c (Å): 7.211 7.211 7.211
angles (deg): 60.00 60.00 60.00
Element x y z (fractional)
La: 0.000 0.000 0.000
La: 0.000 0.000 0.500
La: 0.000 0.500 0.000
La: 0.000 0.500 0.500
La: 0.500 0.000 0.000
La: 0.500 0.000 0.500
La: 0.500 0.500 0.000
Te: 0.500 0.500 0.500

## Properties
Energy: -5.013 eV/atom
Crystal system: cubic
Formation energy from raw total energies: -0.308 eV/atom

Record 9
# CuNi2RhC

An optimized crystal structure of CuNi2RhC (PBE, Alexandria).

a b c (Å): 3.769 3.769 3.985
angles (deg): 90.00 90.00 90.00
Element x y z (fractional)
Cu: 0.000 0.000 0.000
Ni: 0.000 0.500 0.500
Ni: 0.500 0.000 0.500
Rh: 0.500 0.500 0.000
C: 0.500 0.500 0.500

## Properties
ΔE_f: 50.5 kJ/mol of formula units
Energy: -6.342 eV/atom
Crystal system: tetragonal

Record 10
# NaSi

An optimized crystal structure of NaSi (PBE, Alexandria).

a b c (Å): 4.701 3.823 5.823
angles (deg): 90.00 113.40 90.00
Element x y z (fractional)
Na: 0.147 0.250 0.297
Na: 0.853 0.750 0.703
Si: 0.435 0.250 0.875
Si: 0.565 0.750 0.125

## Properties
Energy: -3.335 eV/atom
Crystal system: monoclinic
Formation energy from raw total energies: 0.036 eV/atom

Record 11
# Sr2Li3

An optimized crystal structure of Sr2Li3 (PBE, Alexandria).

a b c (Å): 6.753 6.753 6.753
angles (deg): 136.76 123.03 74.13
Element x y z (fractional)
Sr: 0.200 0.200 0.000
Sr: 0.800 0.800 0.000
Li: 0.244 0.500 0.744
Li: 0.500 0.000 0.500
Li: 0.756 0.500 0.256

## Properties
ΔE_f: 7.1 kJ/mol of formula units
Energy: -1.806 eV/atom
Crystal system: orthorhombic

Record 12
# RbSr3Re

An optimized crystal structure of RbSr3Re (PBE, Alexandria).

a b c (Å): 6.127 6.127 6.127
angles (deg): 90.00 90.00 90.00
Element x y z (fractional)
Rb: 0.000 0.000 0.000
Sr: 0.000 0.500 0.500
Sr: 0.500 0.000 0.500
Sr: 0.500 0.500 0.000
Re: 0.500 0.500 0.500

## Properties
ΔE_f: 327.6 kJ/mol of formula units
Energy: -3.013 eV/atom
Crystal system: cubic